Material: Ce2Zn2Ni3
Method: DFT, PBE
State: optimized geometry

Output
Energy of formation in eV per atom: -0.317
N(E_F) in states/eV/f.u.: 10.064
ρ in kg/m3: 7807

abc: 4.2117 6.1885 5.1007
angles: 87.79 90.00 109.92
Atoms (fractional coordinates):
1 Ce 0.8671 0.7335 0.6241
2 Ce 0.1329 0.2665 0.3759
3 Zn 0.6000 0.2003 0.8650
4 Zn 0.4000 0.7997 0.1350
5 Ni 0.0000 0.0000 0.0000
6 Ni 0.7834 0.5663 0.1467
7 Ni 0.2166 0.4337 0.8533